Entry from the Alexandria database: an optimized crystal structure of AlIr2Cl (GGA-PBEsol).

Cell: 3.6466 3.6466 8.7995 Å, 90.00 90.00 90.00°
Closest atoms and distances in Å follow each position.
Space group I-4m2 (No. 119)
Symmetry-distinct sites (fractional):
Al (0.0000, 0.0000, 0.0000)  8 Ir 2.58-2.86, 4 Cl 2.86
Ir (0.0000, 0.0000, 0.5000)  4 Al 2.58, 4 Cl 2.86, 4 Ir 2.86
Ir (0.0000, 0.5000, 0.7500)  4 Cl 2.58, 4 Ir 2.86, 4 Al 2.86
Cl (0.0000, 0.5000, 0.2500)  8 Ir 2.58-2.86, 4 Al 2.86

Output
For the energy above the most stable polymorph in this dataset, the calculation gives 69.6 meV per atom. The uncorrected formation energy is 522 meV/atom. As for the density of states at the Fermi level: 4.57 states/eV/f.u.

Entry from the Alexandria database: an optimized crystal structure of Mo2WSe2S4 (GGA-PBEsol).

Cell: 3.1813 3.1813 19.8002 Å, 90.00 90.00 120.00°
Closest atoms and distances in Å follow each position.
Space group P3m1 (No. 156)
Symmetry-distinct sites (fractional):
Mo (0.0000, 0.0000, 0.0000)  6 S 2.40
Mo (0.3333, 0.6667, 0.3121)  6 S 2.40
W (0.3333, 0.6667, 0.6763)  6 Se 2.51
Se (0.0000, 0.0000, 0.5899)  3 W 2.51
Se (0.0000, 0.0000, 0.7629)  3 W 2.51
S (0.0000, 0.0000, 0.2341)  3 Mo 2.40
S (0.0000, 0.0000, 0.3900)  3 Mo 2.40
S (0.3333, 0.6667, 0.0779)  3 Mo 2.40
S (0.3333, 0.6667, 0.9220)  3 Mo 2.40

Output
The uncorrected formation energy is -826 meV/atom.

Entry from the Alexandria database: an optimized crystal structure of Er3Ga2Ge3 (GGA-PBEsol).

Cell: 9.1731 7.3266 9.2818 Å, 90.00 90.00 90.00°
Closest atoms and distances in Å follow each position.
Space group Cmcm (No. 63)
Symmetry-distinct sites (fractional):
Er (0.0000, 0.1528, 0.2500)  4 Ga 2.79-3.05, 3 Ge 2.83-2.91
Er (0.1988, 0.5000, 0.0000)  6 Ge 2.92-3.16, 4 Ga 3.02-3.09
Ga (0.0000, 0.1779, 0.5503)  3 Ge 2.64-2.78, 1 Ga 2.77, 1 Er 2.79
Ge (0.0000, 0.4605, 0.7500)  2 Ge 2.63, 2 Ga 2.78, 1 Er 2.83
Ge (0.2032, 0.2078, 0.7500)  1 Ge 2.63, 2 Ga 2.64, 3 Er 2.91-2.92

Output
The formation energy is -0.781 eV per atom. As for the density of states at the Fermi level: 2.15 states/eV/f.u.

Entry from the Alexandria database: an optimized crystal structure of ZrIrSe3 (GGA-PBEsol).

Cell: 5.0524 5.0524 5.0524 Å, 90.00 90.00 90.00°
Closest atoms and distances in Å follow each position.
Space group Pm-3m (No. 221)
Symmetry-distinct sites (fractional):
Zr (0.0000, 0.0000, 0.0000)  6 Se 2.53
Ir (0.5000, 0.5000, 0.5000)  12 Se 3.57
Se (0.0000, 0.0000, 0.5000)  2 Zr 2.53

Output
The uncorrected formation energy is 738 meV/atom. As for the density of states at the Fermi level: 6.13 states/eV/f.u.

Entry from the Alexandria database: an optimized crystal structure of Li2CuPO4 (GGA-PBEsol).

Cell: 4.9763 4.9763 11.8607 Å, 90.00 90.00 120.00°
Closest atoms and distances in Å follow each position.
Space group P3_121 (No. 152)
Symmetry-distinct sites (fractional):
Li (0.0928, 0.4354, 0.4183)  4 O 1.92-2.03
Cu (0.0000, 0.2358, 0.6667)  2 O 1.87
P (0.0000, 0.2412, 0.1667)  4 O 1.53-1.59
O (0.0792, 0.4544, 0.0640)  1 P 1.53
O (0.0936, 0.8099, 0.4734)  1 P 1.59

Output
For the energy above the most stable polymorph in this dataset, the calculation gives 31.5 meV per atom. The uncorrected formation energy is -1939 meV/atom. As for the density of states at the Fermi level: 0.00 states/eV/f.u.

Entry from the Alexandria database: an optimized crystal structure of Y2RhW (GGA-PBEsol).

Cell: 4.0673 4.3022 10.4299 Å, 90.00 90.00 90.00°
Closest atoms and distances in Å follow each position.
Space group Amm2 (No. 38)
Symmetry-distinct sites (fractional):
Y (0.0000, 0.0000, 0.0000)  3 Rh 3.00-3.09, 4 W 3.11
Y (0.5000, 0.0000, 0.2989)  3 W 3.05, 4 Rh 3.09
Rh (0.0000, 0.0000, 0.7126)  2 W 2.40
W (0.5000, 0.0000, 0.5910)  2 Rh 2.40

Output
For the energy above the most stable polymorph in this dataset, the calculation gives 0.0 meV per atom. The formation energy is 0.020 eV per atom. As for the density of states at the Fermi level: 4.13 states/eV/f.u.